# 1
# KZr3Cd | Alexandria | GGA-PBEsol | optimized geometry
# N(E_F)   7.8 states/eV/cell
# Uncorrected energy   -4.17 eV/atom
# DFT formation energy   8.8 eV per formula unit
# Spin magnetization   1.0 μB/cell
data_KZr3Cd
_chemical_formula_sum 'K1 Zr3 Cd1'
_space_group_name_H-M_alt 'P m -3 m'
_space_group_IT_number 221
_space_group_name_Hall '-P 4 2 3'
_cell_length_a 4.8012
_cell_length_b 4.8012
_cell_length_c 4.8012
_cell_angle_alpha 90.00
_cell_angle_beta 90.00
_cell_angle_gamma 90.00
loop_
_atom_site_label
_atom_site_type_symbol
_atom_site_fract_x
_atom_site_fract_y
_atom_site_fract_z
K1 K 0.0000 0.0000 0.0000
Zr1 Zr 0.0000 0.0000 0.5000
Cd1 Cd 0.5000 0.5000 0.5000

# 2
# KZrCd3 | Alexandria | GGA-PBEsol | optimized geometry
# N(E_F)   4.4 states/eV/cell
# Uncorrected energy   -1.48 eV/atom
# DFT formation energy   6.4 eV per formula unit
# Spin magnetization   0.0 μB/cell
data_KZrCd3
_chemical_formula_sum 'K1 Zr1 Cd3'
_space_group_name_H-M_alt 'P m -3 m'
_space_group_IT_number 221
_space_group_name_Hall '-P 4 2 3'
_cell_length_a 5.2211
_cell_length_b 5.2211
_cell_length_c 5.2211
_cell_angle_alpha 90.00
_cell_angle_beta 90.00
_cell_angle_gamma 90.00
loop_
_atom_site_label
_atom_site_type_symbol
_atom_site_fract_x
_atom_site_fract_y
_atom_site_fract_z
K1 K 0.0000 0.0000 0.0000
Zr1 Zr 0.5000 0.5000 0.5000
Cd1 Cd 0.0000 0.0000 0.5000

# 3
# K2ZrCd | Alexandria | GGA-PBEsol | optimized geometry
# N(E_F)   4.5 states/eV/cell
# Uncorrected energy   -2.43 eV/atom
# DFT formation energy   2.8 eV per formula unit
# Spin magnetization   0.7 μB/cell
data_K2ZrCd
_chemical_formula_sum 'K2 Zr1 Cd1'
_space_group_name_H-M_alt 'P m m m'
_space_group_IT_number 47
_cell_length_a 3.0484
_cell_length_b 6.1520
_cell_length_c 6.5678
_cell_angle_alpha 90.00
_cell_angle_beta 90.00
_cell_angle_gamma 90.00
loop_
_space_group_symop_operation_xyz
'x,y,z'
'-x,-y,-z'
'-x,-y,z'
'x,y,-z'
'x,-y,-z'
'-x,y,z'
'-x,y,-z'
'x,-y,z'
loop_
_atom_site_label
_atom_site_type_symbol
_atom_site_fract_x
_atom_site_fract_y
_atom_site_fract_z
K1 K 0.0000 0.0000 0.2430
Zr1 Zr 0.5000 0.5000 0.5000
Cd1 Cd 0.5000 0.5000 0.0000

The highest uncorrected energy belongs to which entry? KZrCd3

Repeat the second record exactly.
# KZrCd3 | Alexandria | GGA-PBEsol | optimized geometry
# N(E_F)   4.4 states/eV/cell
# Uncorrected energy   -1.48 eV/atom
# DFT formation energy   6.4 eV per formula unit
# Spin magnetization   0.0 μB/cell
data_KZrCd3
_chemical_formula_sum 'K1 Zr1 Cd3'
_space_group_name_H-M_alt 'P m -3 m'
_space_group_IT_number 221
_space_group_name_Hall '-P 4 2 3'
_cell_length_a 5.2211
_cell_length_b 5.2211
_cell_length_c 5.2211
_cell_angle_alpha 90.00
_cell_angle_beta 90.00
_cell_angle_gamma 90.00
loop_
_atom_site_label
_atom_site_type_symbol
_atom_site_fract_x
_atom_site_fract_y
_atom_site_fract_z
K1 K 0.0000 0.0000 0.0000
Zr1 Zr 0.5000 0.5000 0.5000
Cd1 Cd 0.0000 0.0000 0.5000

Look up the uncorrected energy of the third one. -2.43 eV/atom